Arrangement P

{"formula": "Tb3Pm2Sm6", "functional": "PBE", "state": "optimized geometry", "sg": "R-3m", "magnetic_moment_mub_per_fu": 0.0, "dos_at_fermi_per_ev_atom": 1.273, "lattice_angstrom": [[3.6058, 0.0000, 0.2212], [1.7961, 3.1266, 0.2212], [-0.1826, -0.1057, 32.4762]], "species": ["Tb", "Tb", "Tb", "Pm", "Pm", "Sm", "Sm", "Sm", "Sm", "Sm", "Sm"], "frac_coords": [[0.0000, 0.0000, 0.0000], [0.7267, 0.7267, 0.8199], [0.2733, 0.2733, 0.1801], [0.5459, 0.5459, 0.3622], [0.4541, 0.4541, 0.6378], [0.9099, 0.9099, 0.2702], [0.0901, 0.0901, 0.7298], [0.8181, 0.8181, 0.5457], [0.1819, 0.1819, 0.4543], [0.6367, 0.6367, 0.0900], [0.3633, 0.3633, 0.9100]]}

=====

Arrangement Q

{"formula": "Tb3Pm2Sm6", "functional": "PBE", "state": "optimized geometry", "sg": "I4/mmm", "magnetic_moment_mub_per_fu": 0.0, "dos_at_fermi_per_ev_atom": 1.429, "lattice_angstrom": [[-4.2685, -2.1748, -0.0330], [2.0625, -4.0241, -1.5824], [3.5354, -1.9160, 16.7319]], "species": ["Tb", "Tb", "Tb", "Pm", "Pm", "Sm", "Sm", "Sm", "Sm", "Sm", "Sm"], "frac_coords": [[0.0000, 0.0000, 0.0000], [0.8002, 0.8002, 0.6005], [0.1998, 0.1998, 0.3995], [0.4545, 0.4545, 0.9090], [0.5455, 0.5455, 0.0910], [0.1213, 0.6213, 0.2426], [0.6213, 0.1213, 0.2426], [0.8787, 0.3787, 0.7574], [0.3787, 0.8787, 0.7574], [0.6983, 0.6983, 0.3966], [0.3017, 0.3017, 0.6034]]}

=====

Compare the structures above. Which one is the most stable? arrangement P is.